# 1
Computed, not measured: a geometry-optimized Tm3Mg2Tl3 structure at the GGA-PBE level of DFT. Values from VASP.

```
&SYSTEM
  ibrav = 0, nat = 16, ntyp = 3
/
ATOMIC_SPECIES
Tm 168.93 Tm.upf
Mg 24.30 Mg.upf
Tl 204.38 Tl.upf
CELL_PARAMETERS angstrom
3.768 0.000 0.000
0.000 5.065 0.000
0.000 0.000 21.794
ATOMIC_POSITIONS crystal
Tm 0.000 0.000 0.000
Tm 0.000 0.500 0.120
Tm 0.000 0.500 0.880
Tm 0.500 0.000 0.380
Tm 0.500 0.000 0.620
Tm 0.500 0.500 0.500
Mg 0.000 0.000 0.255
Mg 0.000 0.000 0.745
Mg 0.500 0.500 0.245
Mg 0.500 0.500 0.755
Tl 0.000 0.000 0.500
Tl 0.000 0.500 0.357
Tl 0.000 0.500 0.643
Tl 0.500 0.000 0.143
Tl 0.500 0.000 0.857
Tl 0.500 0.500 0.000
```

SG = Immm, No. 71
energy of formation = -0.19 eV per atom
magnetization = 0.000 μB per atom

# 2
Computed, not measured: a geometry-optimized VRu3Pb structure at the GGA-PBE level of DFT. Values from VASP.

```
&SYSTEM
  ibrav = 0, nat = 5, ntyp = 3
/
ATOMIC_SPECIES
V 50.94 V.upf
Ru 101.07 Ru.upf
Pb 207.20 Pb.upf
CELL_PARAMETERS angstrom
4.531 0.000 0.000
0.000 4.531 0.000
0.000 0.000 4.531
ATOMIC_POSITIONS crystal
V 0.000 0.000 0.000
Ru 0.000 0.000 0.500
Ru 0.000 0.500 0.000
Ru 0.500 0.000 0.000
Pb 0.500 0.500 0.500
```

SG = Pm-3m, No. 221
energy of formation = 0.96 eV per atom
magnetization = 0.000 μB per atom

# 3
Computed, not measured: a geometry-optimized BeInGa2S structure at the GGA-PBE level of DFT. Values from VASP.

```
&SYSTEM
  ibrav = 0, nat = 5, ntyp = 4
/
ATOMIC_SPECIES
Be 9.01 Be.upf
In 114.82 In.upf
Ga 69.72 Ga.upf
S 32.06 S.upf
CELL_PARAMETERS angstrom
5.230 0.000 0.000
0.000 5.230 0.000
0.000 0.000 4.537
ATOMIC_POSITIONS crystal
Be 0.000 0.000 0.000
In 0.000 0.000 0.500
Ga 0.000 0.500 0.500
Ga 0.500 0.000 0.500
S 0.500 0.500 0.000
```

SG = P4/mmm, No. 123
magnetization = 0.000 μB per atom
uncorrected formation energy = 0.69 eV per atom

# 4
Computed, not measured: a geometry-optimized GdPaHgSb structure at the GGA-PBE level of DFT. Values from VASP.

```
&SYSTEM
  ibrav = 0, nat = 16, ntyp = 4
/
ATOMIC_SPECIES
Gd 157.25 Gd.upf
Pa 231.04 Pa.upf
Hg 200.59 Hg.upf
Sb 121.76 Sb.upf
CELL_PARAMETERS angstrom
7.525 0.000 0.000
0.000 7.525 0.000
0.000 0.000 7.525
ATOMIC_POSITIONS crystal
Gd 0.000 0.000 0.000
Gd 0.000 0.500 0.500
Gd 0.500 0.000 0.500
Gd 0.500 0.500 0.000
Pa 0.000 0.000 0.500
Pa 0.000 0.500 0.000
Pa 0.500 0.000 0.000
Pa 0.500 0.500 0.500
Hg 0.250 0.250 0.250
Hg 0.250 0.750 0.750
Hg 0.750 0.250 0.750
Hg 0.750 0.750 0.250
Sb 0.250 0.250 0.750
Sb 0.250 0.750 0.250
Sb 0.750 0.250 0.250
Sb 0.750 0.750 0.750
```

SG = F-43m, No. 216
magnetization = 2.477 μB per atom
uncorrected formation energy = -0.32 eV per atom

# 5
Computed, not measured: a geometry-optimized Sr2GeBiO6 structure at the GGA-PBE level of DFT. Values from VASP.

```
&SYSTEM
  ibrav = 0, nat = 10, ntyp = 4
/
ATOMIC_SPECIES
Sr 87.62 Sr.upf
Ge 72.64 Ge.upf
Bi 208.98 Bi.upf
O 16.00 O.upf
CELL_PARAMETERS angstrom
5.560 0.000 0.000
0.000 5.560 0.000
0.000 0.000 4.963
ATOMIC_POSITIONS crystal
Sr 0.000 0.500 0.000
Sr 0.500 0.000 0.000
Ge 0.000 0.000 0.548
Bi 0.500 0.500 0.547
O 0.000 0.000 0.192
O 0.230 0.230 0.670
O 0.230 0.770 0.670
O 0.500 0.500 0.117
O 0.770 0.230 0.670
O 0.770 0.770 0.670
```

SG = P4mm, No. 99
magnetization = 0.000 μB per atom
uncorrected formation energy = -1.96 eV per atom

# 6
Computed, not measured: a geometry-optimized TmLuFe4 structure at the GGA-PBE level of DFT. Values from VASP.

```
&SYSTEM
  ibrav = 0, nat = 6, ntyp = 3
/
ATOMIC_SPECIES
Tm 168.93 Tm.upf
Lu 174.97 Lu.upf
Fe 55.84 Fe.upf
CELL_PARAMETERS angstrom
0.000 3.579 3.579
3.579 0.000 3.579
3.579 3.579 0.000
ATOMIC_POSITIONS crystal
Tm 0.000 0.000 0.000
Lu 0.750 0.750 0.750
Fe 0.375 0.375 0.375
Fe 0.375 0.375 0.875
Fe 0.375 0.875 0.375
Fe 0.875 0.375 0.375
```

SG = F-43m, No. 216
energy of formation = -0.16 eV per atom
magnetization = 1.040 μB per atom

# 7
Computed, not measured: a geometry-optimized CaSb2Pd structure at the GGA-PBE level of DFT. Values from VASP.

```
&SYSTEM
  ibrav = 0, nat = 16, ntyp = 3
/
ATOMIC_SPECIES
Ca 40.08 Ca.upf
Sb 121.76 Sb.upf
Pd 106.42 Pd.upf
CELL_PARAMETERS angstrom
7.235 0.000 0.000
0.000 7.235 0.000
0.000 0.000 7.235
ATOMIC_POSITIONS crystal
Ca 0.000 0.000 0.000
Ca 0.000 0.500 0.500
Ca 0.500 0.000 0.500
Ca 0.500 0.500 0.000
Sb 0.250 0.250 0.250
Sb 0.250 0.250 0.750
Sb 0.250 0.750 0.250
Sb 0.250 0.750 0.750
Sb 0.750 0.250 0.250
Sb 0.750 0.250 0.750
Sb 0.750 0.750 0.250
Sb 0.750 0.750 0.750
Pd 0.000 0.000 0.500
Pd 0.000 0.500 0.000
Pd 0.500 0.000 0.000
Pd 0.500 0.500 0.500
```

SG = Fm-3m, No. 225
magnetization = 0.000 μB per atom
uncorrected formation energy = -0.37 eV per atom

# 8
Computed, not measured: a geometry-optimized CdFeCu2 structure at the GGA-PBE level of DFT. Values from VASP.

```
&SYSTEM
  ibrav = 0, nat = 12, ntyp = 3
/
ATOMIC_SPECIES
Cd 112.41 Cd.upf
Fe 55.84 Fe.upf
Cu 63.55 Cu.upf
CELL_PARAMETERS angstrom
2.758 0.000 0.000
-1.379 2.389 0.000
0.000 0.000 26.238
ATOMIC_POSITIONS crystal
Cd 0.000 0.000 0.000
Cd 0.333 0.667 0.667
Cd 0.667 0.333 0.333
Fe 0.000 0.000 0.241
Fe 0.333 0.667 0.908
Fe 0.667 0.333 0.575
Cu 0.000 0.000 0.499
Cu 0.000 0.000 0.756
Cu 0.333 0.667 0.165
Cu 0.333 0.667 0.423
Cu 0.667 0.333 0.090
Cu 0.667 0.333 0.832
```

SG = R3m, No. 160
energy of formation = 0.26 eV per atom
magnetization = 0.722 μB per atom

# 9
Computed, not measured: a geometry-optimized MgSbCl2 structure at the GGA-PBE level of DFT. Values from VASP.

```
&SYSTEM
  ibrav = 0, nat = 8, ntyp = 3
/
ATOMIC_SPECIES
Mg 24.30 Mg.upf
Sb 121.76 Sb.upf
Cl 35.45 Cl.upf
CELL_PARAMETERS angstrom
4.568 0.000 0.000
0.000 4.568 0.000
0.000 0.000 8.960
ATOMIC_POSITIONS crystal
Mg 0.000 0.000 0.000
Mg 0.500 0.500 0.500
Sb 0.000 0.000 0.500
Sb 0.500 0.500 0.000
Cl 0.000 0.500 0.250
Cl 0.000 0.500 0.750
Cl 0.500 0.000 0.250
Cl 0.500 0.000 0.750
```

SG = I4/mmm, No. 139
magnetization = 0.000 μB per atom
uncorrected formation energy = -0.26 eV per atom

# 10
Computed, not measured: a geometry-optimized YBeCd2 structure at the GGA-PBE level of DFT. Values from VASP.

```
&SYSTEM
  ibrav = 0, nat = 4, ntyp = 3
/
ATOMIC_SPECIES
Y 88.91 Y.upf
Be 9.01 Be.upf
Cd 112.41 Cd.upf
CELL_PARAMETERS angstrom
3.294 0.000 0.000
0.000 3.294 0.000
0.000 0.000 7.447
ATOMIC_POSITIONS crystal
Y 0.000 0.000 0.000
Be 0.000 0.000 0.500
Cd 0.500 0.500 0.301
Cd 0.500 0.500 0.699
```

SG = P4/mmm, No. 123
energy of formation = 0.09 eV per atom
magnetization = 0.054 μB per atom

# 11
Computed, not measured: a geometry-optimized Mn3Si structure at the GGA-PBE level of DFT. Values from VASP.

```
&SYSTEM
  ibrav = 0, nat = 4, ntyp = 2
/
ATOMIC_SPECIES
Mn 54.94 Mn.upf
Si 28.09 Si.upf
CELL_PARAMETERS angstrom
2.593 0.000 0.000
-1.296 2.245 0.000
0.000 0.000 7.624
ATOMIC_POSITIONS crystal
Mn 0.000 0.000 0.000
Mn 0.333 0.667 0.252
Mn 0.333 0.667 0.748
Si 0.000 0.000 0.500
```

SG = P-6m2, No. 187
magnetization = 0.133 μB per atom
uncorrected formation energy = -0.07 eV per atom

# 12
Computed, not measured: a geometry-optimized Li2CdGe structure at the GGA-PBE level of DFT. Values from VASP.

```
&SYSTEM
  ibrav = 0, nat = 4, ntyp = 3
/
ATOMIC_SPECIES
Li 6.94 Li.upf
Cd 112.41 Cd.upf
Ge 72.64 Ge.upf
CELL_PARAMETERS angstrom
3.092 0.000 0.000
0.000 3.092 0.000
0.000 0.000 7.080
ATOMIC_POSITIONS crystal
Li 0.000 0.000 0.223
Li 0.000 0.000 0.777
Cd 0.500 0.500 0.500
Ge 0.500 0.500 0.000
```

SG = P4/mmm, No. 123
energy of formation = -0.26 eV per atom
magnetization = 0.000 μB per atom

# 13
Computed, not measured: a geometry-optimized LiCe2Pd6 structure at the GGA-PBE level of DFT. Values from VASP.

```
&SYSTEM
  ibrav = 0, nat = 9, ntyp = 3
/
ATOMIC_SPECIES
Li 6.94 Li.upf
Ce 140.12 Ce.upf
Pd 106.42 Pd.upf
CELL_PARAMETERS angstrom
5.756 0.000 0.000
-2.878 4.985 0.000
0.000 0.000 5.640
ATOMIC_POSITIONS crystal
Li 0.000 0.000 0.000
Ce 0.333 0.667 0.793
Ce 0.667 0.333 0.207
Pd 0.172 0.343 0.301
Pd 0.172 0.828 0.301
Pd 0.343 0.172 0.699
Pd 0.657 0.828 0.301
Pd 0.828 0.172 0.699
Pd 0.828 0.657 0.699
```

SG = P-3m1, No. 164
energy of formation = -0.67 eV per atom
magnetization = 0.118 μB per atom

# 14
Computed, not measured: a geometry-optimized SrY2Cr structure at the GGA-PBE level of DFT. Values from VASP.

```
&SYSTEM
  ibrav = 0, nat = 4, ntyp = 3
/
ATOMIC_SPECIES
Sr 87.62 Sr.upf
Y 88.91 Y.upf
Cr 52.00 Cr.upf
CELL_PARAMETERS angstrom
3.691 0.000 0.000
0.000 3.691 0.000
0.000 0.000 9.390
ATOMIC_POSITIONS crystal
Sr 0.000 0.000 0.000
Y 0.500 0.500 0.323
Y 0.500 0.500 0.677
Cr 0.000 0.000 0.500
```

SG = P4/mmm, No. 123
energy of formation = 0.28 eV per atom
magnetization = 0.796 μB per atom

# 15
Computed, not measured: a geometry-optimized SrLaGe3 structure at the GGA-PBE level of DFT. Values from VASP.

```
&SYSTEM
  ibrav = 0, nat = 5, ntyp = 3
/
ATOMIC_SPECIES
Sr 87.62 Sr.upf
La 138.91 La.upf
Ge 72.64 Ge.upf
CELL_PARAMETERS angstrom
5.613 0.000 0.000
0.000 5.613 0.000
0.000 0.000 5.613
ATOMIC_POSITIONS crystal
Sr 0.000 0.000 0.000
La 0.500 0.500 0.500
Ge 0.000 0.500 0.500
Ge 0.500 0.000 0.500
Ge 0.500 0.500 0.000
```

SG = Pm-3m, No. 221
energy of formation = 0.21 eV per atom
magnetization = 0.000 μB per atom

# 16
Computed, not measured: a geometry-optimized CrPt2Cl structure at the GGA-PBE level of DFT. Values from VASP.

```
&SYSTEM
  ibrav = 0, nat = 8, ntyp = 3
/
ATOMIC_SPECIES
Cr 52.00 Cr.upf
Pt 195.08 Pt.upf
Cl 35.45 Cl.upf
CELL_PARAMETERS angstrom
3.770 0.000 0.000
0.000 3.770 0.000
0.000 0.000 9.532
ATOMIC_POSITIONS crystal
Cr 0.000 0.000 0.000
Cr 0.500 0.500 0.500
Pt 0.000 0.500 0.250
Pt 0.000 0.500 0.750
Pt 0.500 0.000 0.250
Pt 0.500 0.000 0.750
Cl 0.000 0.000 0.500
Cl 0.500 0.500 0.000
```

SG = I4/mmm, No. 139
magnetization = 0.938 μB per atom
uncorrected formation energy = 0.38 eV per atom

# 17
Computed, not measured: a geometry-optimized TlAgGeHSe structure at the GGA-PBE level of DFT. Values from VASP.

```
&SYSTEM
  ibrav = 0, nat = 10, ntyp = 5
/
ATOMIC_SPECIES
Tl 204.38 Tl.upf
Ag 107.87 Ag.upf
Ge 72.64 Ge.upf
H 1.01 H.upf
Se 78.96 Se.upf
CELL_PARAMETERS angstrom
11.753 0.000 0.000
0.000 3.664 0.000
-2.086 0.000 4.930
ATOMIC_POSITIONS crystal
Tl 0.000 0.000 0.000
Tl 0.500 0.500 0.000
Ag 0.292 0.000 0.227
Ag 0.792 0.500 0.227
Ge 0.230 0.000 0.666
Ge 0.730 0.500 0.666
H 0.286 0.500 0.223
H 0.786 0.000 0.223
Se 0.069 0.500 0.557
Se 0.569 0.000 0.557
```

SG = Cm, No. 8
magnetization = 0.000 μB per atom
VASP energy = -3.311 eV/atom

# 18
Computed, not measured: a geometry-optimized YCd4Ag2 structure at the GGA-PBE level of DFT. Values from VASP.

```
&SYSTEM
  ibrav = 0, nat = 14, ntyp = 3
/
ATOMIC_SPECIES
Y 88.91 Y.upf
Cd 112.41 Cd.upf
Ag 107.87 Ag.upf
CELL_PARAMETERS angstrom
9.198 0.000 0.000
0.000 7.420 0.000
-3.348 0.000 4.443
ATOMIC_POSITIONS crystal
Y 0.000 0.000 0.000
Y 0.500 0.500 0.000
Cd 0.197 0.195 0.697
Cd 0.197 0.805 0.697
Cd 0.303 0.305 0.303
Cd 0.303 0.695 0.303
Cd 0.697 0.305 0.697
Cd 0.697 0.695 0.697
Cd 0.803 0.195 0.303
Cd 0.803 0.805 0.303
Ag 0.000 0.500 0.250
Ag 0.000 0.500 0.750
Ag 0.500 0.000 0.250
Ag 0.500 0.000 0.750
```

SG = C2/m, No. 12
energy of formation = -0.16 eV per atom
magnetization = 0.000 μB per atom

# 19
Computed, not measured: a geometry-optimized FeSiAgRh2 structure at the GGA-PBE level of DFT. Values from VASP.

```
&SYSTEM
  ibrav = 0, nat = 5, ntyp = 4
/
ATOMIC_SPECIES
Fe 55.84 Fe.upf
Si 28.09 Si.upf
Ag 107.87 Ag.upf
Rh 102.91 Rh.upf
CELL_PARAMETERS angstrom
4.794 0.000 0.000
0.000 4.794 0.000
0.000 0.000 4.475
ATOMIC_POSITIONS crystal
Fe 0.000 0.000 0.000
Si 0.500 0.500 0.000
Ag 0.000 0.000 0.500
Rh 0.000 0.500 0.500
Rh 0.500 0.000 0.500
```

SG = P4/mmm, No. 123
magnetization = 0.018 μB per atom
uncorrected formation energy = 2.00 eV per atom

# 20
Computed, not measured: a geometry-optimized BeC2 structure at the GGA-PBE level of DFT. Values from VASP.

```
&SYSTEM
  ibrav = 0, nat = 3, ntyp = 2
/
ATOMIC_SPECIES
Be 9.01 Be.upf
C 12.01 C.upf
CELL_PARAMETERS angstrom
3.355 0.000 0.000
0.000 3.355 0.000
0.000 0.000 1.813
ATOMIC_POSITIONS crystal
Be 0.000 0.000 0.000
C 0.000 0.500 0.500
C 0.500 0.000 0.500
```

SG = P4/mmm, No. 123
energy of formation = 2.08 eV per atom
magnetization = 0.000 μB per atom